Ir2WOF | PBE with a Hubbard U | optimized geometry

Output
VASP energy in eV per formula unit: -23.40
DOS at the Fermi energy in states/eV/f.u.: 5.6

Unit cell a=3.961 b=3.961 c=5.482 alpha=90.00 beta=90.00 gamma=90.00
Atoms (fractional coordinates):
Ir 0.000 0.500 0.000
Ir 0.500 0.000 0.000
W 0.000 0.000 0.500
O 0.500 0.500 0.500
F 0.000 0.000 0.000